# 1
Computed, not measured: a geometry-optimized DyScTi structure at the PBE level of DFT.

Cell: 3.3894 3.3894 26.5262 Å, 90.00 90.00 90.00°
Space group I4/mmm (No. 139)
Inequivalent atoms, fractional coordinates:
Dy1 0.0000 0.0000 0.0640
Sc1 0.0000 0.0000 0.3420
Ti1 0.0000 0.0000 0.2285

Values from the calculation:
For the relative energy among the computed polymorphs, the calculation gives 0.0031 eV/atom. The calculation puts the calculated formation energy at 0.1789 eV per atom. The density of states at the Fermi level comes out at 23.54 states/eV per cell. The calculation puts the volume at 25.39 Å³/atom. The total energy comes out at -6.097 eV/atom.

***

# 2
Computed, not measured: a geometry-optimized YCuTeSe structure at the PBE level of DFT.

Cell: 4.1193 4.1193 20.9283 Å, 90.00 90.00 120.00°
Space group R3m (No. 160, hexagonal axes)
Inequivalent atoms, fractional coordinates:
Y1 0.0000 0.0000 0.0000
Cu1 0.0000 0.0000 0.5478
Te1 0.0000 0.0000 0.4236
Se1 0.0000 0.0000 0.2473

Values from the calculation:
Its raw formation energy is -0.951 eV/atom. The calculation puts the volume at 25.63 Å³/atom. The total energy comes out at -5.248 eV/atom.

***

# 3
Computed, not measured: a geometry-optimized PrDy3Cd2 structure at the PBE level of DFT.

Cell: 15.8972 5.4813 8.9749 Å, 90.00 116.12 90.00°
Space group C2/m (No. 12)
Inequivalent atoms, fractional coordinates:
Pr1 0.1355 0.0000 0.1838
Dy1 0.0609 0.0000 0.7215
Dy2 0.1174 0.5000 0.5424
Dy3 0.1926 0.5000 0.9950
Cd1 0.0196 0.5000 0.1698
Cd2 0.2308 0.0000 0.6025

Values from the calculation:
For the relative energy among the computed polymorphs, the calculation gives 0.0606 eV/atom. The calculation puts the calculated formation energy at -0.1438 eV per atom. The density of states at the Fermi level comes out at 23.50 states/eV per cell. The calculation puts the volume at 29.26 Å³/atom. The total energy comes out at -3.546 eV/atom.

***

# 4
Computed, not measured: a geometry-optimized K2CuTe structure at the PBE level of DFT.

Cell: 9.4355 9.4355 5.9253 Å, 90.00 90.00 90.00°
Space group I-42d (No. 122)
Inequivalent atoms, fractional coordinates:
K1 0.1999 0.2500 0.1250
Cu1 0.0000 0.0000 0.0000
Te1 0.0000 0.0000 0.5000

Values from the calculation:
Its raw formation energy is -0.165 eV/atom. The density of states at the Fermi level comes out at 3.87 states/eV per cell. The calculation puts the volume at 32.97 Å³/atom. The total energy comes out at -2.523 eV/atom.

***

# 5
Computed, not measured: a geometry-optimized NaHfBiSb2 structure at the PBE level of DFT.

Cell: 5.8034 5.8034 5.2047 Å, 90.00 90.00 90.00°
Space group P4/mmm (No. 123)
Inequivalent atoms, fractional coordinates:
Na1 0.0000 0.0000 0.0000
Hf1 0.5000 0.5000 0.0000
Bi1 0.0000 0.0000 0.5000
Sb1 0.0000 0.5000 0.5000

Values from the calculation:
Its raw formation energy is 1.032 eV/atom. The density of states at the Fermi level comes out at 3.85 states/eV per cell. The calculation puts the volume at 35.06 Å³/atom. The total energy comes out at -3.647 eV/atom.

***

# 6
Computed, not measured: a geometry-optimized RbPuTl2Br8 structure at the PBE level of DFT.

Cell: 7.0642 7.5244 9.7083 Å, 89.97 89.52 89.33°
Space group P-1 (No. 2)
Inequivalent atoms, fractional coordinates:
Rb1 0.0000 0.0000 0.0000
Pu1 0.0000 0.0000 0.5000
Tl1 0.4978 0.5000 0.2391
Br1 0.2041 0.3041 0.5020
Br2 0.2344 0.8619 0.6979
Br3 0.2382 0.8671 0.2993
Br4 0.2708 0.3640 0.0002

Values from the calculation:
Its raw formation energy is -1.098 eV/atom. The density of states at the Fermi level comes out at 14.69 states/eV per cell. The calculation puts the volume at 43.00 Å³/atom. The total energy comes out at -3.883 eV/atom.

***

# 7
Computed, not measured: a geometry-optimized K2ZnF structure at the PBE level of DFT.

Cell: 3.8176 6.6833 9.4211 Å, 69.23 89.69 89.37°
Space group P1 (No. 1)
Inequivalent atoms, fractional coordinates:
K1 0.0000 0.0000 0.0000
K2 0.0001 0.2471 0.5061
K3 0.4974 0.8159 0.3685
K4 0.4998 0.4314 0.1376
Zn1 0.4884 0.4346 0.7530
Zn2 0.5122 0.8123 0.7530
F1 0.9984 0.1239 0.2531
F2 0.9984 0.6239 0.2530

Values from the calculation:
Its raw formation energy is -1.216 eV/atom. For the relative energy among the computed polymorphs, the calculation gives 0.0527 eV/atom. The density of states at the Fermi level comes out at 2.31 states/eV per cell. The calculation puts the volume at 28.09 Å³/atom. The total energy comes out at -2.552 eV/atom.

***

# 8
Computed, not measured: a geometry-optimized Tl2In12Sb structure at the PBE level of DFT.

Cell: 6.7392 6.7392 19.8575 Å, 90.00 90.00 90.00°
Space group P4/nbm (No. 125, origin choice 2)
Inequivalent atoms, fractional coordinates:
Tl1 0.2500 0.7500 0.2291
In1 0.9997 0.0003 0.3931
In2 0.0837 0.5837 0.0659
In3 0.2500 0.2500 0.1520
In4 0.2500 0.2500 0.2965
Sb1 0.2500 0.7500 0.5000

Values from the calculation:
Its raw formation energy is 0.060 eV/atom. The density of states at the Fermi level comes out at 13.53 states/eV per cell. The calculation puts the volume at 30.06 Å³/atom. The total energy comes out at -2.722 eV/atom.

***

Number 1: ρ 5.57 g cm⁻³. Number 2: ρ 5.82 g cm⁻³. Number 3: ρ 8.07 g cm⁻³. Number 4: ρ 3.39 g cm⁻³. Number 5: ρ 6.20 g cm⁻³. Number 6: ρ 4.43 g cm⁻³. Number 7: ρ 2.40 g cm⁻³. Number 8: ρ 7.03 g cm⁻³.